(1)
A geometry-optimized EuTlHgPb structure, computed with PBE-GGA.

Cell lengths 5.4883, 5.4883, 5.4883 Å; angles 60.00, 60.00, 60.00 degrees
Last column: nearest neighbours and their distance in Å.
Fractional coordinates of all 4 atoms:
Hg 0.5000 0.5000 0.5000  4 Eu 3.36, 4 Pb 3.36
Pb 0.7500 0.7500 0.7500  4 Hg 3.36, 4 Tl 3.36
Tl 0.0000 0.0000 0.0000  4 Pb 3.36, 4 Eu 3.36
Eu 0.2500 0.2500 0.2500  4 Tl 3.36, 4 Hg 3.36

Computed properties:
The calculation puts the mass density at 10.85 g/cm³. Its total magnetization is 7.06 Bohr magnetons per cell. Its symmetry is F-43m (216).

---

(2)
A geometry-optimized EuTmHgPb structure, computed with PBE-GGA.

Cell lengths 5.4283, 5.4283, 5.4283 Å; angles 60.00, 60.00, 60.00 degrees
Last column: nearest neighbours and their distance in Å.
Fractional coordinates of all 4 atoms:
Tm 0.5000 0.5000 0.5000  4 Hg 3.32, 4 Pb 3.32
Eu 0.0000 0.0000 0.0000  4 Pb 3.32, 4 Hg 3.32
Pb 0.2500 0.2500 0.2500  4 Tm 3.32, 4 Eu 3.32
Hg 0.7500 0.7500 0.7500  4 Eu 3.32, 4 Tm 3.32

Computed properties:
The calculation puts the mass density at 10.70 g/cm³. Its total magnetization is 7.56 Bohr magnetons per cell. Its symmetry is F-43m (216).

---

(3)
A geometry-optimized EuHgPd4 structure, computed with PBE-GGA.

Cell lengths 5.4355, 5.4355, 5.4355 Å; angles 60.00, 60.00, 60.00 degrees
Last column: nearest neighbours and their distance in Å.
Fractional coordinates of all 6 atoms:
Pd 0.6253 0.6253 0.1241  6 Pd 2.71-2.72
Pd 0.1241 0.6253 0.6253  6 Pd 2.71-2.72
Pd 0.6253 0.6253 0.6253  6 Pd 2.71-2.72
Eu 0.2500 0.2500 0.2500  12 Pd 3.19, 4 Hg 3.33
Hg 0.0000 0.0000 0.0000  12 Pd 3.19, 4 Eu 3.33
Pd 0.6253 0.1241 0.6253  6 Pd 2.71-2.72

Computed properties:
The calculation puts the mass density at 11.38 g/cm³. Its total magnetization is 6.56 Bohr magnetons per cell. Its symmetry is F-43m (216).

---

(4)
A geometry-optimized EuHgPd2 structure, computed with PBE-GGA.

Cell lengths 4.0739, 4.4767, 4.4767 Å; angles 90.00, 90.00, 90.00 degrees
Last column: nearest neighbours and their distance in Å.
Fractional coordinates of all 4 atoms:
Pd 0.0000 0.5000 0.0000  4 Hg 3.03, 4 Eu 3.03, 4 Pd 3.17
Eu 0.5000 0.5000 0.5000  8 Pd 3.03, 4 Hg 3.17
Pd 0.0000 0.0000 0.5000  4 Hg 3.03, 4 Eu 3.03, 4 Pd 3.17
Hg 0.5000 0.0000 0.0000  8 Pd 3.03, 4 Eu 3.17

Computed properties:
The calculation puts the mass density at 11.50 g/cm³. Its total magnetization is 6.92 Bohr magnetons per cell. Its symmetry is P4/mmm (123).

---

no.,calculated total energy (eV/atom)
1,-4.4730
2,-5.1544
3,-5.6952
4,-5.7133